[1]
First-principles (GGA-PBE) data for crystalline Sm2V2Fe15 at its relaxed geometry, as listed in Alexandria via LeMat-Bulk.

Its space group is R-3m (166). The value obtained for the energy of formation is -17 meV per atom.

Cell lengths 6.422, 6.422, 6.422 Å; angles 82.15, 82.15, 82.15 degrees
Fractional coordinates of all 19 atoms:
Sm (0.154, 0.154, 0.154)
Sm (0.846, 0.846, 0.846)
V (0.404, 0.404, 0.404)
V (0.596, 0.596, 0.596)
Fe (0.000, 0.500, 0.500)
Fe (0.160, 0.160, 0.656)
Fe (0.160, 0.656, 0.160)
Fe (0.202, 0.500, 0.798)
Fe (0.202, 0.798, 0.500)
Fe (0.344, 0.840, 0.840)
Fe (0.500, 0.000, 0.500)
Fe (0.500, 0.202, 0.798)
Fe (0.500, 0.500, 0.000)
Fe (0.500, 0.798, 0.202)
Fe (0.656, 0.160, 0.160)
Fe (0.798, 0.202, 0.500)
Fe (0.798, 0.500, 0.202)
Fe (0.840, 0.344, 0.840)
Fe (0.840, 0.840, 0.344)

---

[2]
First-principles (GGA-PBE) data for crystalline SmFeW at its relaxed geometry, as listed in Alexandria via LeMat-Bulk.

Its space group is P4/nmm (129). The value obtained for the energy of formation is 118 meV per atom.

Cell lengths 4.303, 4.303, 6.452 Å; angles 90.00, 90.00, 90.00 degrees
Fractional coordinates of all 6 atoms:
Sm (0.250, 0.250, 0.135)
Sm (0.750, 0.750, 0.865)
Fe (0.250, 0.250, 0.674)
Fe (0.750, 0.750, 0.326)
W (0.250, 0.750, 0.500)
W (0.750, 0.250, 0.500)

---

[3]
First-principles (GGA-PBE) data for crystalline Sm2YFe at its relaxed geometry, as listed in Alexandria via LeMat-Bulk.

Its space group is P4/mmm (123). The value obtained for the energy of formation is 146 meV per atom. The value obtained for the polymorph energy (0 for the lowest one) is 0.00 eV per formula unit.

Cell lengths 3.538, 3.538, 8.729 Å; angles 90.00, 90.00, 90.00 degrees
Fractional coordinates of all 4 atoms:
Sm (0.000, 0.000, 0.190)
Sm (0.000, 0.000, 0.810)
Y (0.500, 0.500, 0.500)
Fe (0.500, 0.500, 0.000)

---

[4]
First-principles (GGA-PBE) data for crystalline SmYFe17 at its relaxed geometry, as listed in Alexandria via LeMat-Bulk.

Its space group is R3m (160). The value obtained for the energy of formation is 5 meV per atom.

Cell lengths 6.420, 6.420, 6.420 Å; angles 82.88, 82.88, 82.88 degrees
Fractional coordinates of all 19 atoms:
Sm (0.000, 0.000, 0.000)
Y (0.319, 0.319, 0.319)
Fe (0.002, 0.002, 0.503)
Fe (0.002, 0.503, 0.002)
Fe (0.159, 0.659, 0.659)
Fe (0.317, 0.317, 0.815)
Fe (0.317, 0.815, 0.317)
Fe (0.366, 0.659, 0.953)
Fe (0.366, 0.953, 0.659)
Fe (0.503, 0.002, 0.002)
Fe (0.563, 0.563, 0.563)
Fe (0.659, 0.159, 0.659)
Fe (0.659, 0.366, 0.953)
Fe (0.659, 0.659, 0.159)
Fe (0.659, 0.953, 0.366)
Fe (0.755, 0.755, 0.755)
Fe (0.815, 0.317, 0.317)
Fe (0.953, 0.366, 0.659)
Fe (0.953, 0.659, 0.366)

---

[5]
First-principles (GGA-PBE) data for crystalline SmY2Fe9 at its relaxed geometry, as listed in Alexandria via LeMat-Bulk.

Its space group is R-3m (166). The value obtained for the energy of formation is -40 meV per atom.

Cell lengths 8.620, 8.620, 8.620 Å; angles 34.63, 34.63, 34.63 degrees
Fractional coordinates of all 12 atoms:
Sm (0.000, 0.000, 0.000)
Y (0.142, 0.142, 0.142)
Y (0.858, 0.858, 0.858)
Fe (0.083, 0.581, 0.581)
Fe (0.333, 0.333, 0.333)
Fe (0.419, 0.419, 0.917)
Fe (0.419, 0.917, 0.419)
Fe (0.500, 0.500, 0.500)
Fe (0.581, 0.083, 0.581)
Fe (0.581, 0.581, 0.083)
Fe (0.667, 0.667, 0.667)
Fe (0.917, 0.419, 0.419)

---

[6]
First-principles (GGA-PBE) data for crystalline SmY2Fe at its relaxed geometry, as listed in Alexandria via LeMat-Bulk.

Its space group is R-3m (166). The value obtained for the energy of formation is 346 meV per atom. The value obtained for the polymorph energy (0 for the lowest one) is 0.97 eV per formula unit.

Cell lengths 10.921, 10.921, 10.921 Å; angles 18.43, 18.43, 18.43 degrees
Fractional coordinates of all 4 atoms:
Sm (0.000, 0.000, 0.000)
Y (0.109, 0.109, 0.109)
Y (0.891, 0.891, 0.891)
Fe (0.500, 0.500, 0.500)

---

[7]
First-principles (GGA-PBE) data for crystalline SmY3Fe at its relaxed geometry, as listed in Alexandria via LeMat-Bulk.

Its space group is Pm-3m (221). The value obtained for the energy of formation is 114 meV per atom.

Cell lengths 5.307, 5.307, 5.307 Å; angles 90.00, 90.00, 90.00 degrees
Fractional coordinates of all 5 atoms:
Sm (0.000, 0.000, 0.000)
Y (0.000, 0.500, 0.500)
Y (0.500, 0.000, 0.500)
Y (0.500, 0.500, 0.000)
Fe (0.500, 0.500, 0.500)

---

[8]
First-principles (GGA-PBE) data for crystalline Sm2Y5Fe2 at its relaxed geometry, as listed in Alexandria via LeMat-Bulk.

Its space group is Cmce (64). The value obtained for the energy of formation is 57 meV per atom.

Cell lengths 10.703, 10.703, 7.042 Å; angles 90.00, 90.00, 38.53 degrees
Fractional coordinates of all 18 atoms:
Sm (0.233, 0.233, 0.000)
Sm (0.267, 0.267, 0.500)
Sm (0.733, 0.733, 0.500)
Sm (0.767, 0.767, 0.000)
Y (0.000, 0.000, 0.000)
Y (0.074, 0.711, 0.679)
Y (0.211, 0.574, 0.179)
Y (0.289, 0.926, 0.679)
Y (0.426, 0.789, 0.179)
Y (0.500, 0.500, 0.500)
Y (0.574, 0.211, 0.821)
Y (0.711, 0.074, 0.321)
Y (0.789, 0.426, 0.821)
Y (0.926, 0.289, 0.321)
Fe (0.108, 0.892, 0.395)
Fe (0.392, 0.608, 0.895)
Fe (0.608, 0.392, 0.105)
Fe (0.892, 0.108, 0.605)

---

[9]
First-principles (GGA-PBE) data for crystalline Sm2YFe at its relaxed geometry, as listed in Alexandria via LeMat-Bulk.

Its space group is R-3m (166). The value obtained for the energy of formation is 377 meV per atom. The value obtained for the polymorph energy (0 for the lowest one) is 0.92 eV per formula unit.

Cell lengths 10.889, 10.889, 10.889 Å; angles 18.65, 18.65, 18.65 degrees
Fractional coordinates of all 4 atoms:
Sm (0.108, 0.108, 0.108)
Sm (0.892, 0.892, 0.892)
Y (0.000, 0.000, 0.000)
Fe (0.500, 0.500, 0.500)

---

[10]
First-principles (GGA-PBE) data for crystalline SmY2Fe at its relaxed geometry, as listed in Alexandria via LeMat-Bulk.

Its space group is P4/mmm (123). The value obtained for the energy of formation is 102 meV per atom. The value obtained for the polymorph energy (0 for the lowest one) is 0.00 eV per formula unit.

Cell lengths 3.380, 3.380, 9.121 Å; angles 90.00, 90.00, 90.00 degrees
Fractional coordinates of all 4 atoms:
Sm (0.000, 0.000, 0.000)
Y (0.500, 0.500, 0.323)
Y (0.500, 0.500, 0.677)
Fe (0.000, 0.000, 0.500)

---

[11]
First-principles (GGA-PBE) data for crystalline SmY3Fe8 at its relaxed geometry, as listed in Alexandria via LeMat-Bulk.

Its space group is R3m (160). The value obtained for the energy of formation is -41 meV per atom.

Cell lengths 8.949, 8.949, 8.949 Å; angles 33.56, 33.56, 33.56 degrees
Fractional coordinates of all 12 atoms:
Sm (0.000, 0.000, 0.000)
Y (0.375, 0.375, 0.375)
Y (0.500, 0.500, 0.500)
Y (0.875, 0.875, 0.875)
Fe (0.187, 0.187, 0.187)
Fe (0.437, 0.437, 0.936)
Fe (0.437, 0.936, 0.437)
Fe (0.439, 0.938, 0.938)
Fe (0.688, 0.688, 0.688)
Fe (0.936, 0.437, 0.437)
Fe (0.938, 0.439, 0.938)
Fe (0.938, 0.938, 0.439)

---

Number 9 is which compound?
Sm2YFe